[1]
Computed, not measured: crystalline SrHoGa2Au2 at its relaxed geometry at the PBE level of DFT.

For the formation enthalpy at 0 K, the calculation gives -0.747 eV/atom.

The space group is P-3m1 (No. 164) and the conventional cell measures 4.6175, 4.6175 and 7.5371 Å, with angles of 90.00, 90.00 and 120.00 degrees. The inequivalent atoms are Sr at (0.0000, 0.0000, 0.0000), Ho at (0.0000, 0.0000, 0.5000), Ga at (0.3333, 0.6667, 0.7055) and Au at (0.3333, 0.6667, 0.2969).

[2]
Computed, not measured: crystalline YAl2Fe2 at its relaxed geometry at the PBE level of DFT.

For the formation enthalpy at 0 K, the calculation gives -0.127 eV/atom. Its energy above the most stable polymorph in this dataset is 0.44 eV/f.u.

The space group is P4/mbm (No. 127) and the conventional cell measures 7.4189, 7.4189 and 2.7786 Å, with angles of 90.00, 90.00 and 90.00 degrees. The inequivalent atoms are Y at (0.0000, 0.0000, 0.0000), Al at (0.1406, 0.3594, 0.5000) and Fe at (0.1493, 0.6493, 0.0000).

[3]
Computed, not measured: crystalline TeRu3Pb at its relaxed geometry at the PBE level of DFT.

Its uncorrected formation energy is 1.283 eV per atom. Its energy above the most stable polymorph in this dataset is 0.00 eV/f.u.

The space group is Pm-3m (No. 221) and the conventional cell measures 4.8692, 4.8692 and 4.8692 Å, with angles of 90.00, 90.00 and 90.00 degrees. The inequivalent atoms are Te at (0.0000, 0.0000, 0.0000), Ru at (0.0000, 0.0000, 0.5000) and Pb at (0.5000, 0.5000, 0.5000).

Fermi-level density of states values (in states/eV/cell) by entry order: 3.99 9.15 10.89.
Spin magnetization values (in μB/f.u.) by entry order: 0.000 1.894 1.774.